ThMgSc5 (PBE, relaxed); energy relative to the elements = 20.3 kJ/mol of atoms; spin magnetization = 0.00 μB/atom
1.0
4.7987 0.0000 0.0000
0.0000 4.7987 0.0000
0.0000 0.0000 8.2002
Th Mg Sc
1 1 5
direct
0.0000 0.0000 0.0000
0.5000 0.5000 0.5000
0.0000 0.5000 0.2732
0.0000 0.5000 0.7268
0.5000 0.0000 0.2732
0.5000 0.0000 0.7268
0.5000 0.5000 0.0000